# ZnMoAs2 | Alexandria | GGA-PBE | relaxed
data_ZnMoAs2
_symmetry_space_group_name_H-M 'C 1 2/m 1'
_symmetry_Int_Tables_number 12
_cell_length_a 8.780
_cell_length_b 3.105
_cell_length_c 5.019
_cell_angle_alpha 90.00
_cell_angle_beta 97.40
_cell_angle_gamma 90.00
loop_
_symmetry_equiv_pos_as_xyz
'x,y,z'
'-x,-y,-z'
'-x,y,-z'
'x,-y,z'
'x+1/2,y+1/2,z'
'-x+1/2,-y+1/2,-z'
'-x+1/2,y+1/2,-z'
'x+1/2,-y+1/2,z'
loop_
_atom_site_label
_atom_site_type_symbol
_atom_site_fract_x
_atom_site_fract_y
_atom_site_fract_z
Zn1 Zn 0.000 0.000 0.000
Mo1 Mo 0.000 0.500 0.500
As1 As 0.224 0.000 0.716
# E_tot: -5.22 eV/atom
# formation enthalpy at 0 K: 0.130 eV/atom


# ZnMoAs2 | Alexandria | GGA-PBE | relaxed
data_ZnMoAs2
_symmetry_space_group_name_H-M 'R 3 m'
_symmetry_Int_Tables_number 160
_symmetry_space_group_name_Hall 'R 3 -2"'
_cell_length_a 3.0016
_cell_length_b 3.0016
_cell_length_c 30.0322
_cell_angle_alpha 90.00
_cell_angle_beta 90.00
_cell_angle_gamma 120.00
loop_
_atom_site_label
_atom_site_type_symbol
_atom_site_fract_x
_atom_site_fract_y
_atom_site_fract_z
Zn1 Zn 0.0000 0.0000 0.0000
Mo1 Mo 0.0000 0.0000 0.7388
As1 As 0.0000 0.0000 0.2664
As2 As 0.0000 0.0000 0.4699
# E_tot: -5.13 eV/atom
# formation enthalpy at 0 K: 0.219 eV/atom


# ZnMoAs2 | Alexandria | GGA-PBE | relaxed
data_ZnMoAs2
_symmetry_space_group_name_H-M 'P 1 2/m 1'
_symmetry_Int_Tables_number 10
_cell_length_a 3.267
_cell_length_b 3.266
_cell_length_c 6.300
_cell_angle_alpha 90.00
_cell_angle_beta 97.53
_cell_angle_gamma 90.00
loop_
_symmetry_equiv_pos_as_xyz
'x,y,z'
'-x,-y,-z'
'-x,y,-z'
'x,-y,z'
loop_
_atom_site_label
_atom_site_type_symbol
_atom_site_fract_x
_atom_site_fract_y
_atom_site_fract_z
Zn1 Zn 0.000 0.000 0.000
Mo1 Mo 0.000 0.000 0.500
As1 As 0.451 0.500 0.274
# E_tot: -5.38 eV/atom
# formation enthalpy at 0 K: -0.031 eV/atom